No. 1
{
  "formula": "Pm6Ru2O",
  "functional": "PBE",
  "state": "optimized geometry",
  "lattice": [[6.548, 0.000, 0.000], [0.000, 7.276, 0.000], [-6.390, 0.000, 9.640]],
  "species": ["Pm", "Pm", "Pm", "Pm", "Pm", "Pm", "Pm", "Pm", "Pm", "Pm", "Pm", "Pm", "Ru", "Ru", "Ru", "Ru", "O", "O"],
  "fractional_positions": [[0.117, 0.046, 0.244], [0.117, 0.454, 0.744], [0.237, 0.683, 0.066], [0.237, 0.817, 0.566], [0.377, 0.169, 0.062], [0.377, 0.331, 0.562], [0.623, 0.669, 0.438], [0.623, 0.831, 0.938], [0.763, 0.183, 0.434], [0.763, 0.317, 0.934], [0.883, 0.546, 0.256], [0.883, 0.954, 0.756], [0.293, 0.102, 0.755], [0.293, 0.398, 0.255], [0.707, 0.602, 0.745], [0.707, 0.898, 0.245], [0.000, 0.000, 0.000], [0.000, 0.500, 0.500]],
  "rho_g_cm3": 7.87,
  "raw_formation_energy_ev_per_atom": -0.7896,
  "m_tot_mub_per_fu": 0.0
}

No. 2
{
  "formula": "TaSbPt2Cl",
  "functional": "PBE",
  "state": "optimized geometry",
  "lattice": [[4.694, 0.000, 0.000], [0.000, 4.694, 0.000], [0.000, 0.000, 4.533]],
  "species": ["Ta", "Sb", "Pt", "Pt", "Cl"],
  "fractional_positions": [[0.000, 0.000, 0.000], [0.500, 0.500, 0.000], [0.000, 0.500, 0.500], [0.500, 0.000, 0.500], [0.000, 0.000, 0.500]],
  "rho_g_cm3": 12.11,
  "raw_formation_energy_ev_per_atom": 0.8549,
  "m_tot_mub_per_fu": 0.0
}

No. 3
{
  "formula": "Rb2ReCl5O",
  "functional": "PBE",
  "state": "optimized geometry",
  "lattice": [[-3.697, 3.697, 4.775], [3.697, -3.697, 4.775], [3.697, 3.697, -4.775]],
  "species": ["Rb", "Rb", "Re", "Cl", "Cl", "Cl", "Cl", "Cl", "O"],
  "fractional_positions": [[0.000, 0.500, 0.500], [0.500, 0.000, 0.500], [0.270, 0.270, 0.000], [0.012, 0.012, 0.000], [0.020, 0.020, 0.541], [0.020, 0.479, 0.000], [0.479, 0.020, 0.000], [0.479, 0.479, 0.459], [0.449, 0.449, 0.000]],
  "rho_g_cm3": 3.50,
  "raw_formation_energy_ev_per_atom": -1.3798,
  "m_tot_mub_per_fu": 0.0
}